A) A relaxed structure of Mg2BAs2, computed with PBE-GGA.

```
10
Lattice="-3.2024 -6.9594 -0.5671 2.3134 -1.6461 7.1378 -2.6915 1.1459 1.1366" Properties=species:S:1:pos:R:3 pbc="T T T"
As -1.7460 -4.8811 0.7865
As 0.8569 -3.7244 5.7842
As 0.2584 -1.6884 2.3141
As -1.1475 -6.9172 4.2566
Mg -2.1673 -2.1557 1.3739
Mg -1.4133 -5.3039 6.3334
Mg -3.2658 -5.9930 2.6413
Mg -0.3147 -1.4666 5.0660
B -0.4445 -4.3028 3.2854
B 0.0000 0.0000 0.0000
```



B) A relaxed structure of Mg2BAs2, computed with PBE-GGA.

```
5
Lattice="-2.3604 0.8607 3.9571 -1.9460 -4.2578 -0.2347 1.5313 -3.5257 4.4564" Properties=species:S:1:pos:R:3 pbc="T T T"
Mg -1.2840 -4.7410 3.0415
Mg -1.4912 -2.1818 5.1374
As -1.2413 -2.1508 2.5035
As -1.5338 -4.7720 5.6753
B 0.0000 0.0000 0.0000
```



Which structure wins on stability? A) wins.